No. 1
La3Mg: optimized geometry, GGA-PBEsol.

Formation energy from the elements (eV per atom): -0.01
SG: No. 62
Crystal system: orthorhombic
VASP energy (Ry/atom): -0.32702
DOS at the Fermi energy (states/eV per cell): 18.64

Cell: 6.172 7.031 11.509 Å, 90.00 90.00 90.00°
Element x y z (fractional)
1 Mg 0.924 0.638 0.250
2 Mg 0.576 0.138 0.750
3 Mg 0.424 0.862 0.250
4 Mg 0.076 0.362 0.750
5 La 0.934 0.135 0.250
6 La 0.566 0.635 0.750
7 La 0.434 0.365 0.250
8 La 0.066 0.865 0.750
9 La 0.240 0.606 0.001
10 La 0.260 0.106 0.999
11 La 0.740 0.894 0.499
12 La 0.760 0.394 0.501
13 La 0.760 0.394 0.999
14 La 0.740 0.894 0.001
15 La 0.260 0.106 0.501
16 La 0.240 0.606 0.499

---

No. 2
Cs2HgSbBr6: optimized geometry, GGA-PBEsol.

SG: No. 225
Crystal system: cubic
Raw formation energy (meV/atom): -1043
VASP energy (Ry/atom): -0.21062
DOS at the Fermi energy (states/eV per cell): 2.45

Cell: 8.013 8.013 8.013 Å, 60.00 60.00 60.00°
Element x y z (fractional)
1 Cs 0.750 0.750 0.750
2 Cs 0.250 0.250 0.250
3 Hg 0.500 0.500 0.500
4 Sb 0.000 0.000 0.000
5 Br 0.755 0.245 0.245
6 Br 0.755 0.755 0.245
7 Br 0.245 0.755 0.755
8 Br 0.755 0.245 0.755
9 Br 0.245 0.755 0.245
10 Br 0.245 0.245 0.755

---

No. 3
Rb3InRu: optimized geometry, GGA-PBEsol.

Formation energy from the elements (eV per atom): 1.44
SG: No. 221
Crystal system: cubic
VASP energy (Ry/atom): -0.13302
DOS at the Fermi energy (states/eV per cell): 12.43

Cell: 6.714 6.714 6.714 Å, 90.00 90.00 90.00°
Site moments in Bohr magnetons follow the coordinates.
Element x y z (fractional)
1 Ru 0.500 0.500 0.500  2.51
2 Rb 0.000 0.500 0.000  0.00
3 Rb 0.000 0.000 0.500  0.00
4 Rb 0.500 0.000 0.000  0.00
5 In 0.000 0.000 0.000  0.07

---

No. 4
MnMoP: optimized geometry, GGA-PBEsol.

Formation energy from the elements (eV per atom): -0.16
SG: No. 216
Crystal system: cubic
VASP energy (Ry/atom): -0.68146
DOS at the Fermi energy (states/eV per cell): 2.07

Cell: 3.927 3.927 3.927 Å, 60.00 60.00 60.00°
Site moments in Bohr magnetons follow the coordinates.
Element x y z (fractional)
1 Mn 0.000 0.000 0.000  2.77
2 Mo 0.500 0.500 0.500  0.29
3 P 0.250 0.250 0.250  -0.04

---

No. 5
HfCuB3: optimized geometry, GGA-PBEsol.

Formation energy from the elements (eV per atom): 0.90
SG: No. 221
Crystal system: cubic
VASP energy (Ry/atom): -0.46168
DOS at the Fermi energy (states/eV per cell): 2.53

Cell: 3.793 3.793 3.793 Å, 90.00 90.00 90.00°
Element x y z (fractional)
1 B 0.000 0.500 0.000
2 B 0.000 0.000 0.500
3 B 0.500 0.000 0.000
4 Hf 0.500 0.500 0.500
5 Cu 0.000 0.000 0.000

---

No. 6
Sr2MnCl: optimized geometry, GGA-PBEsol.

Excess energy over the best structure of this formula in the dataset (kJ/mol of formula units): 105
SG: No. 119
Crystal system: tetragonal
Raw formation energy (meV/atom): -125
VASP energy (Ry/atom): -0.29306
DOS at the Fermi energy (states/eV per cell): 4.69

Cell: 4.366 4.366 7.459 Å, 107.02 107.02 90.00°
Site moments in Bohr magnetons follow the coordinates.
Element x y z (fractional)
1 Sr 0.000 0.000 0.000  -0.02
2 Sr 0.750 0.250 0.500  -0.04
3 Mn 0.250 0.750 0.500  3.95
4 Cl 0.500 0.500 0.000  0.01

---

No. 7
Hf2Ge2Pd: optimized geometry, GGA-PBEsol.

Formation energy from the elements (eV per atom): -0.75
SG: No. 127
Crystal system: tetragonal
VASP energy (Ry/atom): -0.59693
DOS at the Fermi energy (states/eV per cell): 4.09

Cell: 3.978 6.537 6.537 Å, 90.00 90.00 90.00°
Element x y z (fractional)
1 Ge 0.000 0.367 0.867
2 Ge 0.000 0.867 0.633
3 Ge 0.000 0.633 0.133
4 Ge 0.000 0.133 0.367
5 Hf 0.500 0.173 0.673
6 Hf 0.500 0.673 0.827
7 Hf 0.500 0.827 0.327
8 Hf 0.500 0.327 0.173
9 Pd 0.000 0.000 0.000
10 Pd 0.000 0.500 0.500

---

No. 8
Cu2SiMo: optimized geometry, GGA-PBEsol.

SG: No. 12
Crystal system: monoclinic
Raw formation energy (meV/atom): 18
VASP energy (Ry/atom): -0.47978
DOS at the Fermi energy (states/eV per cell): 1.64

Cell: 2.592 4.432 5.182 Å, 114.55 103.25 92.80°
Element x y z (fractional)
1 Cu 0.000 0.000 0.500
2 Cu 0.500 0.500 0.500
3 Mo 0.500 0.000 0.000
4 Si 0.000 0.500 0.000

---

No. 9
InSiSb2Te: optimized geometry, GGA-PBEsol.

Excess energy over the best structure of this formula in the dataset (kJ/mol of formula units): 0
SG: No. 123
Crystal system: tetragonal
Raw formation energy (meV/atom): 413
VASP energy (Ry/atom): -0.28377
DOS at the Fermi energy (states/eV per cell): 3.69

Cell: 5.191 5.191 5.276 Å, 90.00 90.00 90.00°
Element x y z (fractional)
1 Sb 0.000 0.500 0.000
2 Sb 0.500 0.000 0.000
3 Si 0.000 0.000 0.000
4 Te 0.000 0.000 0.500
5 In 0.500 0.500 0.500

---

No. 10
TaWN2O: optimized geometry, GGA-PBEsol.

SG: No. 123
Crystal system: tetragonal
Raw formation energy (meV/atom): 183
VASP energy (Ry/atom): -0.70187
DOS at the Fermi energy (states/eV per cell): 2.67

Cell: 3.789 4.049 4.049 Å, 90.00 90.00 90.00°
Site moments in Bohr magnetons follow the coordinates.
Element x y z (fractional)
1 N 0.000 0.000 0.500  -0.09
2 N 0.000 0.500 0.000  -0.09
3 O 0.500 0.000 0.000  0.05
4 W 0.500 0.500 0.500  2.43
5 Ta 0.000 0.000 0.000  0.03

---

No. 11
TaMo2Pb2: optimized geometry, GGA-PBEsol.

Formation energy from the elements (eV per atom): 1.01
SG: No. 139
Crystal system: tetragonal
VASP energy (Ry/atom): -0.57400
DOS at the Fermi energy (states/eV per cell): 4.80

Cell: 3.554 3.554 8.589 Å, 101.94 101.94 90.00°
Site moments in Bohr magnetons follow the coordinates.
Element x y z (fractional)
1 Pb 0.396 0.396 0.792  0.00
2 Pb 0.604 0.604 0.208  0.00
3 Mo 0.250 0.750 0.500  0.05
4 Mo 0.750 0.250 0.500  0.05
5 Ta 0.000 0.000 0.000  0.60

---

No. 12
LiBe2W: optimized geometry, GGA-PBEsol.

Excess energy over the best structure of this formula in the dataset (kJ/mol of formula units): 0
Formation energy from the elements (eV per atom): 0.22
SG: No. 25
Crystal system: orthorhombic
VASP energy (Ry/atom): -0.42052
DOS at the Fermi energy (states/eV per cell): 2.48

Cell: 2.542 4.280 4.281 Å, 90.00 90.00 90.00°
Element x y z (fractional)
1 Be 0.000 0.000 0.127
2 Be 0.000 0.500 0.622
3 Li 0.500 0.000 0.627
4 W 0.500 0.500 0.123

---

Total magnetic moment / μB per formula unit: 0.000; 0.000; 3.158; 3.204; 0.001; 4.091; 0.000; 0.000; 0.001; 2.824; 1.009; 0.000
Calculated density / g/cm³: 5.9; 4.9; 2.6; 7.1; 8.4; 3.4; 11.9; 8.0; 6.0; 10.9; 12.6; 7.4